Arrangement w

A relaxed structure of LaNdHoTl. Source: Alexandria via LeMat-Bulk, functional PBE.

Structure (CIF):
```
data_LaNdHoTl
_space_group_name_H-M_alt 'P 1'
_space_group_IT_number 1
_cell_length_a 5.625
_cell_length_b 5.625
_cell_length_c 5.625
_cell_angle_alpha 60.00
_cell_angle_beta 60.00
_cell_angle_gamma 60.00
loop_
_space_group_symop_operation_xyz
'x,y,z'
loop_
_atom_site_label
_atom_site_fract_x
_atom_site_fract_y
_atom_site_fract_z
_atom_site_occupancy
La1 0.000 0.000 0.000 1
Nd1 0.500 0.500 0.500 1
Tl1 0.750 0.750 0.750 1
Ho1 0.250 0.250 0.250 1
```

Arrangement x

A relaxed structure of LaNdHoTl. Source: Alexandria via LeMat-Bulk, functional PBE.

Structure (CIF):
```
data_LaNdHoTl
_space_group_name_H-M_alt 'P 1'
_space_group_IT_number 1
_cell_length_a 5.079
_cell_length_b 4.901
_cell_length_c 4.935
_cell_angle_alpha 90.00
_cell_angle_beta 90.00
_cell_angle_gamma 90.00
loop_
_space_group_symop_operation_xyz
'x,y,z'
loop_
_atom_site_label
_atom_site_fract_x
_atom_site_fract_y
_atom_site_fract_z
_atom_site_occupancy
Ho1 0.000 0.500 0.500 1
La1 0.500 0.000 0.500 1
Tl1 0.000 0.000 0.000 1
Nd1 0.500 0.500 0.000 1
```

Unit: meV/atom. Relative energies: arrangement w 113; arrangement x 0.

Arrangement w

A relaxed structure of LaNdHoTm. Source: Alexandria via LeMat-Bulk, functional PBE.

Structure (CIF):
```
data_LaNdHoTm
_space_group_name_H-M_alt 'P 1'
_space_group_IT_number 1
_cell_length_a 5.755
_cell_length_b 5.755
_cell_length_c 5.755
_cell_angle_alpha 60.00
_cell_angle_beta 60.00
_cell_angle_gamma 60.00
loop_
_space_group_symop_operation_xyz
'x,y,z'
loop_
_atom_site_label
_atom_site_fract_x
_atom_site_fract_y
_atom_site_fract_z
_atom_site_occupancy
Ho1 0.000 0.000 0.000 1
La1 0.250 0.250 0.250 1
Nd1 0.750 0.750 0.750 1
Tm1 0.500 0.500 0.500 1
```

Arrangement x

A relaxed structure of LaNdHoTm. Source: Alexandria via LeMat-Bulk, functional PBE.

Structure (CIF):
```
data_LaNdHoTm
_space_group_name_H-M_alt 'P 1'
_space_group_IT_number 1
_cell_length_a 3.832
_cell_length_b 5.896
_cell_length_c 6.932
_cell_angle_alpha 115.17
_cell_angle_beta 73.37
_cell_angle_gamma 90.00
loop_
_space_group_symop_operation_xyz
'x,y,z'
loop_
_atom_site_label
_atom_site_fract_x
_atom_site_fract_y
_atom_site_fract_z
_atom_site_occupancy
Ho1 0.197 0.880 0.761 1
Tm1 0.911 0.646 0.292 1
Nd1 0.687 0.403 0.807 1
La1 0.391 0.135 0.270 1
```

Unit: meV/atom. Relative energies: arrangement w 0; arrangement x 8.

Arrangement w

A relaxed structure of La2HoNi. Source: Alexandria via LeMat-Bulk, functional PBE.

Structure (CIF):
```
data_La2HoNi
_space_group_name_H-M_alt 'P 1'
_space_group_IT_number 1
_cell_length_a 6.430
_cell_length_b 7.052
_cell_length_c 10.174
_cell_angle_alpha 90.00
_cell_angle_beta 90.00
_cell_angle_gamma 90.00
loop_
_space_group_symop_operation_xyz
'x,y,z'
loop_
_atom_site_label
_atom_site_fract_x
_atom_site_fract_y
_atom_site_fract_z
_atom_site_occupancy
La1 0.324 0.175 0.432 1
La2 0.176 0.675 0.432 1
La3 0.676 0.825 0.932 1
La4 0.324 0.175 0.068 1
La5 0.824 0.325 0.568 1
La6 0.676 0.825 0.568 1
La7 0.176 0.675 0.068 1
La8 0.824 0.325 0.932 1
Ni1 0.059 0.381 0.250 1
Ni2 0.559 0.119 0.750 1
Ni3 0.941 0.619 0.750 1
Ni4 0.441 0.881 0.250 1
Ho1 0.339 0.462 0.750 1
Ho2 0.661 0.538 0.250 1
Ho3 0.839 0.038 0.250 1
Ho4 0.161 0.962 0.750 1
```

Arrangement x

A relaxed structure of La2HoNi. Source: Alexandria via LeMat-Bulk, functional PBE.

Structure (CIF):
```
data_La2HoNi
_space_group_name_H-M_alt 'P 1'
_space_group_IT_number 1
_cell_length_a 3.637
_cell_length_b 3.637
_cell_length_c 8.594
_cell_angle_alpha 90.00
_cell_angle_beta 90.00
_cell_angle_gamma 90.00
loop_
_space_group_symop_operation_xyz
'x,y,z'
loop_
_atom_site_label
_atom_site_fract_x
_atom_site_fract_y
_atom_site_fract_z
_atom_site_occupancy
La1 0.000 0.000 0.805 1
La2 0.000 0.000 0.195 1
Ni1 0.500 0.500 0.000 1
Ho1 0.500 0.500 0.500 1
```

Arrangement y

A relaxed structure of La2HoNi. Source: Alexandria via LeMat-Bulk, functional PBE.

Structure (CIF):
```
data_La2HoNi
_space_group_name_H-M_alt 'P 1'
_space_group_IT_number 1
_cell_length_a 3.871
_cell_length_b 3.871
_cell_length_c 9.604
_cell_angle_alpha 78.37
_cell_angle_beta 78.37
_cell_angle_gamma 60.00
loop_
_space_group_symop_operation_xyz
'x,y,z'
loop_
_atom_site_label
_atom_site_fract_x
_atom_site_fract_y
_atom_site_fract_z
_atom_site_occupancy
Ni1 0.667 0.667 0.000 1
Ho1 0.500 0.500 0.501 1
La1 0.062 0.062 0.813 1
La2 0.271 0.271 0.186 1
```

Arrangement z

A relaxed structure of La2HoNi. Source: Alexandria via LeMat-Bulk, functional PBE.

Structure (CIF):
```
data_La2HoNi
_space_group_name_H-M_alt 'P 1'
_space_group_IT_number 1
_cell_length_a 3.721
_cell_length_b 3.721
_cell_length_c 10.690
_cell_angle_alpha 79.98
_cell_angle_beta 79.98
_cell_angle_gamma 60.00
loop_
_space_group_symop_operation_xyz
'x,y,z'
loop_
_atom_site_label
_atom_site_fract_x
_atom_site_fract_y
_atom_site_fract_z
_atom_site_occupancy
Ho1 0.000 0.000 0.000 1
Ni1 0.500 0.500 0.500 1
La1 0.890 0.890 0.329 1
La2 0.110 0.110 0.671 1
```

Unit: meV/atom. Relative energies: arrangement w 0; arrangement x 128; arrangement y 145; arrangement z 297.

Arrangement w

A relaxed structure of LaHoNiPt. Source: Alexandria via LeMat-Bulk, functional PBE.

Structure (CIF):
```
data_LaHoNiPt
_space_group_name_H-M_alt 'P 1'
_space_group_IT_number 1
_cell_length_a 3.903
_cell_length_b 4.500
_cell_length_c 5.525
_cell_angle_alpha 90.00
_cell_angle_beta 110.69
_cell_angle_gamma 90.00
loop_
_space_group_symop_operation_xyz
'x,y,z'
loop_
_atom_site_label
_atom_site_fract_x
_atom_site_fract_y
_atom_site_fract_z
_atom_site_occupancy
La1 0.143 0.000 0.286 1
Pt1 0.576 0.500 0.152 1
Ni1 0.417 0.000 0.834 1
Ho1 0.864 0.500 0.728 1
```

Arrangement x

A relaxed structure of LaHoNiPt. Source: Alexandria via LeMat-Bulk, functional PBE.

Structure (CIF):
```
data_LaHoNiPt
_space_group_name_H-M_alt 'P 1'
_space_group_IT_number 1
_cell_length_a 4.993
_cell_length_b 4.993
_cell_length_c 4.993
_cell_angle_alpha 60.00
_cell_angle_beta 60.00
_cell_angle_gamma 60.00
loop_
_space_group_symop_operation_xyz
'x,y,z'
loop_
_atom_site_label
_atom_site_fract_x
_atom_site_fract_y
_atom_site_fract_z
_atom_site_occupancy
La1 0.000 0.000 0.000 1
Pt1 0.250 0.250 0.250 1
Ni1 0.750 0.750 0.750 1
Ho1 0.500 0.500 0.500 1
```

Unit: meV/atom. Relative energies: arrangement w 0; arrangement x 103.

Arrangement w

A relaxed structure of LaHoO2. Source: Alexandria via LeMat-Bulk, functional PBE.

Structure (CIF):
```
data_LaHoO2
_space_group_name_H-M_alt 'P 1'
_space_group_IT_number 1
_cell_length_a 3.466
_cell_length_b 3.466
_cell_length_c 6.312
_cell_angle_alpha 74.07
_cell_angle_beta 74.07
_cell_angle_gamma 60.00
loop_
_space_group_symop_operation_xyz
'x,y,z'
loop_
_atom_site_label
_atom_site_fract_x
_atom_site_fract_y
_atom_site_fract_z
_atom_site_occupancy
O1 0.232 0.232 0.303 1
O2 0.768 0.768 0.697 1
La1 0.000 0.000 0.000 1
Ho1 0.500 0.500 0.500 1
```

Arrangement x

A relaxed structure of LaHoO2. Source: Alexandria via LeMat-Bulk, functional PBE.

Structure (CIF):
```
data_LaHoO2
_space_group_name_H-M_alt 'P 1'
_space_group_IT_number 1
_cell_length_a 3.460
_cell_length_b 3.460
_cell_length_c 6.505
_cell_angle_alpha 74.58
_cell_angle_beta 74.58
_cell_angle_gamma 60.00
loop_
_space_group_symop_operation_xyz
'x,y,z'
loop_
_atom_site_label
_atom_site_fract_x
_atom_site_fract_y
_atom_site_fract_z
_atom_site_occupancy
O1 0.268 0.268 0.195 1
O2 0.066 0.066 0.801 1
Ho1 0.671 0.671 0.987 1
La1 0.494 0.494 0.517 1
```

Unit: meV/atom. Relative energies: arrangement w 0; arrangement x 163.

Arrangement w

A relaxed structure of LaHo2O. Source: Alexandria via LeMat-Bulk, functional PBE.

Structure (CIF):
```
data_LaHo2O
_space_group_name_H-M_alt 'P 1'
_space_group_IT_number 1
_cell_length_a 3.460
_cell_length_b 3.460
_cell_length_c 9.706
_cell_angle_alpha 79.73
_cell_angle_beta 79.73
_cell_angle_gamma 60.00
loop_
_space_group_symop_operation_xyz
'x,y,z'
loop_
_atom_site_label
_atom_site_fract_x
_atom_site_fract_y
_atom_site_fract_z
_atom_site_occupancy
Ho1 0.120 0.120 0.639 1
Ho2 0.880 0.880 0.361 1
O1 0.500 0.500 0.500 1
La1 0.000 0.000 0.000 1
```

Arrangement x

A relaxed structure of LaHo2O. Source: Alexandria via LeMat-Bulk, functional PBE.

Structure (CIF):
```
data_LaHo2O
_space_group_name_H-M_alt 'P 1'
_space_group_IT_number 1
_cell_length_a 3.190
_cell_length_b 3.190
_cell_length_c 8.936
_cell_angle_alpha 90.00
_cell_angle_beta 90.00
_cell_angle_gamma 90.00
loop_
_space_group_symop_operation_xyz
'x,y,z'
loop_
_atom_site_label
_atom_site_fract_x
_atom_site_fract_y
_atom_site_fract_z
_atom_site_occupancy
La1 0.500 0.500 0.500 1
Ho1 0.000 0.000 0.172 1
Ho2 0.000 0.000 0.828 1
O1 0.500 0.500 0.000 1
```

Unit: meV/atom. Relative energies: arrangement w 0; arrangement x 450.

Arrangement w

A relaxed structure of LaHoO. Source: Alexandria via LeMat-Bulk, functional PBE.

Structure (CIF):
```
data_LaHoO
_space_group_name_H-M_alt 'P 1'
_space_group_IT_number 1
_cell_length_a 6.294
_cell_length_b 6.294
_cell_length_c 6.294
_cell_angle_alpha 90.00
_cell_angle_beta 90.00
_cell_angle_gamma 90.00
loop_
_space_group_symop_operation_xyz
'x,y,z'
loop_
_atom_site_label
_atom_site_fract_x
_atom_site_fract_y
_atom_site_fract_z
_atom_site_occupancy
Ho1 0.896 0.604 0.396 1
Ho2 0.396 0.896 0.604 1
Ho3 0.604 0.396 0.896 1
Ho4 0.104 0.104 0.104 1
O1 0.210 0.790 0.290 1
O2 0.710 0.710 0.710 1
O3 0.790 0.290 0.210 1
O4 0.290 0.210 0.790 1
La1 0.411 0.411 0.411 1
La2 0.589 0.911 0.089 1
La3 0.089 0.589 0.911 1
La4 0.911 0.089 0.589 1
```

Arrangement x

A relaxed structure of LaHoO. Source: Alexandria via LeMat-Bulk, functional PBE.

Structure (CIF):
```
data_LaHoO
_space_group_name_H-M_alt 'P 1'
_space_group_IT_number 1
_cell_length_a 3.600
_cell_length_b 3.600
_cell_length_c 6.145
_cell_angle_alpha 90.00
_cell_angle_beta 90.00
_cell_angle_gamma 120.00
loop_
_space_group_symop_operation_xyz
'x,y,z'
loop_
_atom_site_label
_atom_site_fract_x
_atom_site_fract_y
_atom_site_fract_z
_atom_site_occupancy
Ho1 0.667 0.333 0.456 1
O1 0.333 0.667 0.634 1
La1 0.000 0.000 0.911 1
```

Unit: meV/atom. Relative energies: arrangement w 222; arrangement x 0.

Arrangement w

A relaxed structure of LaHo2Os. Source: Alexandria via LeMat-Bulk, functional PBE.

Structure (CIF):
```
data_LaHo2Os
_space_group_name_H-M_alt 'P 1'
_space_group_IT_number 1
_cell_length_a 6.469
_cell_length_b 7.430
_cell_length_c 9.239
_cell_angle_alpha 90.00
_cell_angle_beta 90.00
_cell_angle_gamma 90.00
loop_
_space_group_symop_operation_xyz
'x,y,z'
loop_
_atom_site_label
_atom_site_fract_x
_atom_site_fract_y
_atom_site_fract_z
_atom_site_occupancy
Ho1 0.336 0.172 0.066 1
Ho2 0.836 0.328 0.566 1
Ho3 0.664 0.828 0.566 1
Ho4 0.336 0.172 0.434 1
Ho5 0.164 0.672 0.434 1
Ho6 0.836 0.328 0.934 1
Ho7 0.664 0.828 0.934 1
Ho8 0.164 0.672 0.066 1
La1 0.867 0.047 0.250 1
La2 0.633 0.547 0.250 1
La3 0.133 0.953 0.750 1
La4 0.367 0.453 0.750 1
Os1 0.450 0.879 0.250 1
Os2 0.950 0.621 0.750 1
Os3 0.550 0.121 0.750 1
Os4 0.050 0.379 0.250 1
```

Arrangement x

A relaxed structure of LaHo2Os. Source: Alexandria via LeMat-Bulk, functional PBE.

Structure (CIF):
```
data_LaHo2Os
_space_group_name_H-M_alt 'P 1'
_space_group_IT_number 1
_cell_length_a 3.417
_cell_length_b 3.417
_cell_length_c 9.430
_cell_angle_alpha 90.00
_cell_angle_beta 90.00
_cell_angle_gamma 90.00
loop_
_space_group_symop_operation_xyz
'x,y,z'
loop_
_atom_site_label
_atom_site_fract_x
_atom_site_fract_y
_atom_site_fract_z
_atom_site_occupancy
Ho1 0.000 0.000 0.826 1
Ho2 0.000 0.000 0.174 1
La1 0.500 0.500 0.500 1
Os1 0.500 0.500 0.000 1
```

Unit: meV/atom. Relative energies: arrangement w 0; arrangement x 73.